## 1
DFT (PBE) results for a geometry-optimized La2CdBr structure.

a = 10.8560 Å, b = 10.8560 Å, c = 10.8560 Å
α = 20.65°, β = 20.65°, γ = 20.65°
With the nearest neighbours (Å) after each atom.
Fractional positions:
La (0.0016, 0.0016, 0.0016)  3 Cd 3.40, 3 La 3.72
La (0.2418, 0.2418, 0.2418)  3 Br 3.10
Cd (0.7485, 0.7485, 0.7485)  3 La 3.40, 3 Br 3.71
Br (0.5080, 0.5080, 0.5080)  3 La 3.10

## Properties
- SG = R3m, No. 160
- volume (Å³ per atom) = 34.82

=====

## 2
DFT (PBE) results for a geometry-optimized La2CdBr structure.

a = 6.3788 Å, b = 4.1136 Å, c = 4.8331 Å
α = 90.00°, β = 90.00°, γ = 90.00°
With the nearest neighbours (Å) after each atom.
Fractional positions:
Cd (0.5000, 0.8749, 0.8743)  6 La 3.17-3.19
La (0.0000, 0.8751, 0.8757)  4 Br 3.17, 2 Cd 3.19
La (0.5000, 0.3750, 0.3744)  4 Cd 3.17, 2 Br 3.19
Br (0.0000, 0.3750, 0.3757)  6 La 3.17-3.19

## Properties
- SG = Pmm2, No. 25
- volume (Å³ per atom) = 31.70

=====

## 3
DFT (PBE) results for a geometry-optimized La2CdBr structure.

a = 4.4621 Å, b = 4.4621 Å, c = 7.8510 Å
α = 73.62°, β = 73.62°, γ = 59.79°
With the nearest neighbours (Å) after each atom.
Fractional positions:
La (0.0053, 0.0053, 0.9843)  3 Br 3.11, 3 Cd 3.24
La (0.4947, 0.4947, 0.5157)  3 Br 3.11, 3 Cd 3.24
Br (0.7500, 0.7500, 0.7500)  6 La 3.11
Cd (0.2500, 0.2500, 0.2500)  6 La 3.24

## Properties
- SG = C2/m, No. 12
- volume (Å³ per atom) = 31.93

=====

## 4
DFT (PBE) results for a geometry-optimized La2CdBr structure.

a = 5.7675 Å, b = 5.7675 Å, c = 10.0608 Å
α = 73.34°, β = 73.34°, γ = 90.00°
With the nearest neighbours (Å) after each atom.
Fractional positions:
Br (0.5000, 0.5000, 0.0000)  4 La 3.01
Br (0.2500, 0.7500, 0.5000)  4 La 3.01
Cd (0.7500, 0.2500, 0.5000)  4 La 3.14
Cd (0.0000, 0.0000, 0.0000)  4 La 3.14
La (0.3750, 0.3992, 0.7500)  2 Br 3.01, 2 Cd 3.14
La (0.8750, 0.8508, 0.7500)  2 Br 3.01, 2 Cd 3.14
La (0.6008, 0.1250, 0.2500)  2 Br 3.01, 2 Cd 3.14
La (0.1492, 0.6250, 0.2500)  2 Br 3.01, 2 Cd 3.14

## Properties
- SG = I-42d, No. 122
- volume (Å³ per atom) = 38.24

=====

Which of them is most stable? Easy: 2.

=====

## 1
DFT (PBE) results for a geometry-optimized La2Cd2Br structure.

a = 8.0380 Å, b = 8.0380 Å, c = 5.0665 Å
α = 90.00°, β = 90.00°, γ = 90.00°
With the nearest neighbours (Å) after each atom.
Fractional positions:
Br (0.0000, 0.0000, 0.0000)  4 La 3.03
Br (0.5000, 0.5000, 0.0000)  4 La 3.03
La (0.6583, 0.1583, 0.0000)  2 Br 3.03
La (0.8417, 0.6583, 0.0000)  2 Br 3.03
La (0.1583, 0.3417, 0.0000)  2 Br 3.03
La (0.3417, 0.8417, 0.0000)  2 Br 3.03
Cd (0.3658, 0.1342, 0.5000)  1 Cd 3.05
Cd (0.1342, 0.6342, 0.5000)  1 Cd 3.05
Cd (0.8658, 0.3658, 0.5000)  1 Cd 3.05
Cd (0.6342, 0.8658, 0.5000)  1 Cd 3.05

## Properties
- SG = P4/mbm, No. 127
- volume (Å³ per atom) = 32.73

=====

## 2
DFT (PBE) results for a geometry-optimized La2Cd2Br structure.

a = 9.1257 Å, b = 9.1257 Å, c = 3.7707 Å
α = 90.00°, β = 90.00°, γ = 90.00°
With the nearest neighbours (Å) after each atom.
Fractional positions:
Cd (0.3894, 0.8894, 0.0000)  1 Cd 2.85
Cd (0.1106, 0.3894, 0.0000)  1 Cd 2.85
Cd (0.8894, 0.6106, 0.0000)  1 Cd 2.85
Cd (0.6106, 0.1106, 0.0000)  1 Cd 2.85
La (0.8139, 0.3139, 0.5000)  6 Cd 3.23-3.37
La (0.6861, 0.8139, 0.5000)  6 Cd 3.23-3.37
La (0.3139, 0.1861, 0.5000)  6 Cd 3.23-3.37
La (0.1861, 0.6861, 0.5000)  6 Cd 3.23-3.37
Br (0.5000, 0.5000, 0.0000)  4 Cd 3.69, 2 Br 3.77, 8 La 3.83
Br (0.0000, 0.0000, 0.0000)  4 Cd 3.69, 2 Br 3.77, 8 La 3.83

## Properties
- SG = P4/mbm, No. 127
- volume (Å³ per atom) = 31.40

=====

Which of them is most stable? Easy: 1.

=====

## 1
DFT (PBE) results for a geometry-optimized LaCdBr structure.

a = 7.7776 Å, b = 7.7771 Å, c = 3.6974 Å
α = 76.26°, β = 76.24°, γ = 27.50°
With the nearest neighbours (Å) after each atom.
Fractional positions:
La (0.6565, 0.6565, 0.3435)  4 Br 3.15, 4 Cd 3.42
Cd (0.3071, 0.3071, 0.6929)  4 La 3.42, 4 Cd 3.70
Br (0.0364, 0.0364, 0.9636)  4 La 3.15

## Properties
- SG = I4mm, No. 107
- volume (Å³ per atom) = 33.38

=====

## 2
DFT (PBE) results for a geometry-optimized LaCdBr structure.

a = 5.2341 Å, b = 5.2341 Å, c = 5.2341 Å
α = 60.00°, β = 60.00°, γ = 60.00°
With the nearest neighbours (Å) after each atom.
Fractional positions:
Cd (0.5000, 0.5000, 0.5000)  4 La 3.21
La (0.7500, 0.7500, 0.7500)  4 Cd 3.21, 4 Br 3.21
Br (0.0000, 0.0000, 0.0000)  4 La 3.21

## Properties
- SG = F-43m, No. 216
- volume (Å³ per atom) = 33.80

=====

Which of them is most stable? Easy: 1.

=====

## 1
DFT (PBE) results for a geometry-optimized LaCdBr structure.

a = 5.2242 Å, b = 5.2242 Å, c = 3.9328 Å
α = 90.00°, β = 90.00°, γ = 120.00°
With the nearest neighbours (Å) after each atom.
Fractional positions:
Cd (0.6667, 0.3333, 0.3334)  6 Br 3.60, 6 La 3.60, 2 Cd 3.93
La (0.3333, 0.6667, 0.8335)  3 Br 3.02
Br (0.0000, 0.0000, 0.8330)  3 La 3.02

## Properties
- SG = P-6m2, No. 187
- volume (Å³ per atom) = 30.98

=====

## 2
DFT (PBE) results for a geometry-optimized LaCdBr structure.

a = 5.1120 Å, b = 5.1120 Å, c = 5.1120 Å
α = 60.00°, β = 60.00°, γ = 60.00°
With the nearest neighbours (Å) after each atom.
Fractional positions:
La (0.5000, 0.5000, 0.5000)  4 Br 3.13
Cd (0.0000, 0.0000, 0.0000)  4 Br 3.13
Br (0.7500, 0.7500, 0.7500)  4 Cd 3.13, 4 La 3.13

## Properties
- SG = F-43m, No. 216
- volume (Å³ per atom) = 31.49

=====

Which of them is most stable? Easy: 1.